This record from the Alexandria database describes an optimized crystal structure of Ho2CdPt. The functional is PBE-GGA.

Unit cell a=4.0131 b=4.0131 c=8.1377 alpha=75.73 beta=75.73 gamma=60.00
Closest atoms and distances in Å follow each position.
Sites, in units of the cell vectors:
Ho 0.2665 0.2665 0.2006  3 Pt 2.80
Ho 0.7335 0.7335 0.7994  3 Pt 2.80
Cd 0.5000 0.5000 0.5000  6 Ho 3.29
Pt 0.0000 0.0000 0.0000  6 Ho 2.80

uncorrected energy	-18.83	eV per cell
total moment	0.0	μB/f.u.
energy relative to the lowest polymorph listed for this composition	122	meV per atom
formation enthalpy at 0 K	-679	meV/atom

---

This record from the Alexandria database describes an optimized crystal structure of PmDyIrRu. The functional is PBE-GGA.

Unit cell a=4.8925 b=4.8925 c=4.8925 alpha=60.00 beta=60.00 gamma=60.00
Closest atoms and distances in Å follow each position.
Sites, in units of the cell vectors:
Ru 0.7500 0.7500 0.7500  4 Pm 3.00, 4 Dy 3.00
Dy 0.5000 0.5000 0.5000  4 Ru 3.00, 4 Ir 3.00
Ir 0.2500 0.2500 0.2500  4 Dy 3.00, 4 Pm 3.00
Pm 0.0000 0.0000 0.0000  4 Ru 3.00, 4 Ir 3.00

uncorrected energy	-29.40	eV per cell
total moment	0.0	μB/f.u.
formation enthalpy at 0 K	-479	meV/atom

---

This record from the Alexandria database describes an optimized crystal structure of TbPuNp. The functional is PBE-GGA.

Unit cell a=3.6705 b=4.9947 c=8.2118 alpha=90.00 beta=102.91 gamma=90.00
Closest atoms and distances in Å follow each position.
Sites, in units of the cell vectors:
Tb 0.9282 0.7500 0.8563  4 Pu 3.29, 4 Tb 3.40-3.67, 2 Np 3.51
Tb 0.0718 0.2500 0.1437  4 Pu 3.29, 4 Tb 3.40-3.67, 2 Np 3.51
Np 0.2414 0.7500 0.4829  2 Pu 2.44
Np 0.7586 0.2500 0.5171  2 Pu 2.44
Pu 0.6407 0.7500 0.2814  2 Np 2.44
Pu 0.3593 0.2500 0.7186  2 Np 2.44

uncorrected energy	-62.93	eV per cell
total moment	2.4	μB/f.u.
formation enthalpy at 0 K	146	meV/atom

---

This record from the Alexandria database describes an optimized crystal structure of LaNiP. The functional is PBE-GGA.

Unit cell a=9.3529 b=9.3529 c=4.1147 alpha=90.00 beta=90.00 gamma=143.56
Closest atoms and distances in Å follow each position.
Sites, in units of the cell vectors:
Ni 0.4626 0.8613 0.5000  2 P 2.15
Ni 0.8613 0.4626 0.5000  2 P 2.15
Ni 0.2392 0.2392 0.5000  2 P 2.14
La 0.6370 0.6370 0.0000  4 P 2.91-2.93, 2 Ni 3.11
La 0.9958 0.3357 0.0000  4 P 2.92-3.02, 2 Ni 3.10
La 0.3357 0.9958 0.0000  4 P 2.92-3.02, 2 Ni 3.10
P 0.5016 0.8290 0.0000  2 Ni 2.15
P 0.1378 0.1378 0.0000  2 Ni 2.14
P 0.8290 0.5016 0.0000  2 Ni 2.15

uncorrected energy	-55.25	eV per cell
total moment	0.0	μB/f.u.
formation enthalpy at 0 K	-766	meV/atom